! Y2TcSnTe PBE optimized geometry; values from VASP
&SYSTEM
  ibrav = 0, nat = 5, ntyp = 4
/
ATOMIC_SPECIES
Y 88.91 Y.upf
Te 127.60 Te.upf
Sn 118.71 Sn.upf
Tc 98.00 Tc.upf
CELL_PARAMETERS angstrom
5.425 0.000 0.000
0.000 4.948 0.000
0.000 0.000 5.425
ATOMIC_POSITIONS angstrom
Y 0.000 0.000 2.713
Y 2.713 0.000 0.000
Te 0.000 2.474 0.000
Sn 2.713 2.474 2.713
Tc 0.000 0.000 0.000
! size of the total moment = 0.00 μB/cell
! formation energy (no corrections) = -0.08 eV/atom
! volume = 29.130 Å³/atom



! GdB2Ru PBE optimized geometry; values from VASP
&SYSTEM
  ibrav = 0, nat = 4, ntyp = 3
/
ATOMIC_SPECIES
Ru 101.07 Ru.upf
B 10.81 B.upf
Gd 157.25 Gd.upf
CELL_PARAMETERS angstrom
-0.102 2.254 -2.883
-1.165 -1.230 -3.246
-4.868 1.581 -0.917
ATOMIC_POSITIONS angstrom
Ru 0.000 0.000 0.000
B -0.920 0.480 -1.917
B -5.215 2.125 -5.129
Gd -3.067 1.303 -3.523
! size of the total moment = 7.13 μB/cell
! ΔE_f = -23.21 kJ per mole of atoms
! volume = 13.788 Å³/atom



! CaTmSb2 PBE optimized geometry; values from VASP
&SYSTEM
  ibrav = 0, nat = 4, ntyp = 3
/
ATOMIC_SPECIES
Sb 121.76 Sb.upf
Ca 40.08 Ca.upf
Tm 168.93 Tm.upf
CELL_PARAMETERS angstrom
-0.479 4.266 -0.508
-3.500 1.985 1.580
2.311 3.274 6.920
ATOMIC_POSITIONS angstrom
Sb -1.305 7.127 5.898
Sb -0.363 2.399 2.095
Ca 0.000 0.000 0.000
Tm -0.834 4.763 3.996
! size of the total moment = 0.00 μB/cell
! formation energy (no corrections) = -0.90 eV/atom
! volume = 30.743 Å³/atom



! BaLaMo2 PBE optimized geometry; values from VASP
&SYSTEM
  ibrav = 0, nat = 4, ntyp = 3
/
ATOMIC_SPECIES
Ba 137.33 Ba.upf
La 138.91 La.upf
Mo 95.94 Mo.upf
CELL_PARAMETERS angstrom
5.152 0.000 0.000
0.000 3.463 0.071
0.000 0.971 7.087
ATOMIC_POSITIONS angstrom
Ba 2.576 1.109 1.789
La 2.576 3.326 5.368
Mo 0.000 4.239 6.280
Mo 0.000 2.412 4.457
! size of the total moment = 0.00 μB/cell
! ΔE_f = 77.42 kJ per mole of atoms
! volume = 31.519 Å³/atom



! ZrInIrPt PBE optimized geometry; values from VASP
&SYSTEM
  ibrav = 0, nat = 4, ntyp = 4
/
ATOMIC_SPECIES
Zr 91.22 Zr.upf
In 114.82 In.upf
Ir 192.22 Ir.upf
Pt 195.08 Pt.upf
CELL_PARAMETERS angstrom
-1.788 -2.901 -2.560
2.872 -2.885 1.263
-2.914 1.800 3.544
ATOMIC_POSITIONS angstrom
Zr 0.000 0.000 0.000
In -2.373 -1.093 2.896
Ir -2.080 -1.997 0.168
Pt 0.250 -1.989 2.080
! size of the total moment = 0.00 μB/cell
! ΔE_f = -66.58 kJ per mole of atoms
! volume = 17.713 Å³/atom



! CuN2F3 PBE optimized geometry; values from VASP
&SYSTEM
  ibrav = 0, nat = 12, ntyp = 3
/
ATOMIC_SPECIES
Cu 63.55 Cu.upf
N 14.01 N.upf
F 19.00 F.upf
CELL_PARAMETERS angstrom
-3.375 0.801 2.184
4.275 -7.235 -1.642
2.606 2.642 6.070
ATOMIC_POSITIONS angstrom
Cu -2.022 0.144 2.665
Cu 5.528 -3.936 3.947
N 2.541 -0.920 6.432
N 4.483 -3.716 2.457
N -0.977 -0.076 4.155
N 0.965 -2.872 0.179
F 2.064 -0.029 3.004
F 1.441 -3.763 3.608
F 3.934 -3.847 5.384
F 2.014 -3.645 0.701
F 1.491 -0.147 5.911
F -0.428 0.056 1.227
! size of the total moment = 4.03 μB/cell
! formation energy (no corrections) = -0.07 eV/atom
! volume = 14.598 Å³/atom



! Rb2NaAg2Br7 PBE optimized geometry; values from VASP
&SYSTEM
  ibrav = 0, nat = 12, ntyp = 4
/
ATOMIC_SPECIES
Rb 85.47 Rb.upf
Na 22.99 Na.upf
Ag 107.87 Ag.upf
Br 79.90 Br.upf
CELL_PARAMETERS angstrom
5.428 -0.003 0.013
0.004 5.428 0.013
2.685 2.681 13.708
ATOMIC_POSITIONS angstrom
Rb 5.419 5.412 4.873
Rb 2.698 2.694 8.861
Na 0.000 0.000 0.000
Ag 5.408 5.401 11.051
Ag 2.709 2.705 2.683
Br 2.716 2.713 0.013
Br 2.701 2.698 5.376
Br 5.415 5.409 8.358
Br 5.423 2.703 2.421
Br 2.710 5.420 2.421
Br 5.407 2.687 11.312
Br 2.693 5.403 11.312
! size of the total moment = 0.00 μB/cell
! formation energy (no corrections) = -0.93 eV/atom
! volume = 33.631 Å³/atom



! AlBAsBr2 PBE optimized geometry; values from VASP
&SYSTEM
  ibrav = 0, nat = 5, ntyp = 4
/
ATOMIC_SPECIES
As 74.92 As.upf
B 10.81 B.upf
Al 26.98 Al.upf
Br 79.90 Br.upf
CELL_PARAMETERS angstrom
5.027 0.000 0.000
0.000 5.027 0.000
0.000 0.000 5.003
ATOMIC_POSITIONS angstrom
As 0.000 0.000 2.501
B 2.513 2.513 2.501
Al 0.000 0.000 0.000
Br 0.000 2.513 0.000
Br 2.513 0.000 0.000
! size of the total moment = 0.00 μB/cell
! formation energy (no corrections) = 0.87 eV/atom
! volume = 25.283 Å³/atom



- Among the records above, which one has the highest size of the total moment?
  GdB2Ru



- The highest volume belongs to which entry?
  Rb2NaAg2Br7



- Which value of volume does entry 7 give?
  33.631 Å³/atom